# 1
The following is a PBE-GGA calculation of a relaxed structure of ScNbN2O, from OQMD.

Magnetic moment (μB/atom): 0.00
Calculated density (Mg/m³): 5.02
Total DFT energy (no corrections) (eV per formula unit): -46.39

Cell: 5.3465 5.5537 9.6150 Å, 90.05 105.79 117.73°
Last column: nearest neighbours and their distance in Å.
Element x y z (fractional)
N: 0.1814 0.0163 0.8387  2 Nb 2.00-2.07
N: 0.1809 0.2512 0.5776  2 Nb 1.92-2.12
N: 0.6058 0.6309 0.8721  1 Nb 1.89
N: 0.1647 0.7679 0.0936  2 Nb 1.99-2.05, 1 Sc 2.22
N: 0.5885 0.1168 0.3765  1 Nb 1.90
N: 0.8437 0.7487 0.4134  2 Nb 2.01-2.08, 2 Sc 2.13-2.24
N: 0.8649 0.5042 0.6763  2 Nb 2.00-2.09, 2 Sc 2.13-2.21
N: 0.1696 0.4988 0.3370  2 Nb 1.91-2.11
O: 0.4340 0.4215 0.1252  1 Nb 2.02, 1 Sc 2.04
O: 0.4618 0.9112 0.6456  1 Nb 1.95, 1 Sc 2.04
O: 0.8484 0.2675 0.9282  2 Nb 2.09-2.24, 2 Sc 2.12-2.13
O: 0.8305 0.0188 0.1622  2 Nb 2.11-2.26, 2 Sc 2.14
Nb: 0.4880 0.2423 0.7339  3 N 1.92-2.09, 1 O 1.95
Nb: 0.9521 0.9532 0.9803  3 N 1.89-2.00, 2 O 2.09-2.11
Nb: 0.9290 0.4462 0.4860  5 N 1.90-2.12
Nb: 0.4763 0.7300 0.2575  3 N 1.91-2.08, 1 O 2.02
Sc: 0.1987 0.6167 0.8824  1 O 2.13, 4 N 2.13-2.30
Sc: 0.1754 0.1054 0.3621  4 N 2.13-2.21, 1 O 2.14
Sc: 0.8110 0.8692 0.6279  1 O 2.04, 3 N 2.21-2.24
Sc: 0.7954 0.3831 0.1235  3 O 2.04-2.14, 2 N 2.22-2.28



# 2
The following is a PBE-GGA calculation of a relaxed structure of BeIn2Cu4Ni, from OQMD.

Magnetic moment (μB/atom): 0.00
Calculated density (Mg/m³): 8.44
Total DFT energy (no corrections) (eV per formula unit): -28.85

Cell: 4.2326 4.2326 6.0548 Å, 90.00 90.00 90.00°
Last column: nearest neighbours and their distance in Å.
Element x y z (fractional)
Be: 0.5000 0.5000 0.0000  8 Cu 2.57
Cu: 0.0000 0.5000 0.7579  4 In 2.57-2.63, 2 Be 2.57, 2 Ni 2.63
Cu: 0.0000 0.5000 0.2421  4 In 2.57-2.63, 2 Be 2.57, 2 Ni 2.63
Cu: 0.5000 0.0000 0.7579  4 In 2.57-2.63, 2 Be 2.57, 2 Ni 2.63
Cu: 0.5000 0.0000 0.2421  4 In 2.57-2.63, 2 Be 2.57, 2 Ni 2.63
In: 0.5000 0.5000 0.5000  8 Cu 2.63
In: 0.0000 0.0000 0.0000  8 Cu 2.57
Ni: 0.0000 0.0000 0.5000  8 Cu 2.63